Density functional theory data (PBE with a Hubbard U) for a relaxed structure of K2ErCrO6.

```
data_K2ErCrO6
_space_group_name_H-M_alt 'P 1'
_space_group_IT_number 1
_space_group_name_Hall 'P 1'
_cell_length_a 5.627
_cell_length_b 6.191
_cell_length_c 6.191
_cell_angle_alpha 120.00
_cell_angle_beta 90.00
_cell_angle_gamma 90.00
loop_
_atom_site_label
_atom_site_fract_x
_atom_site_fract_y
_atom_site_fract_z
O1 0.801 0.137 0.863
O2 0.801 0.137 0.274
Er1 0.500 0.000 0.000
O3 0.199 0.863 0.726
O4 0.199 0.863 0.137
Cr1 0.000 0.000 0.000
K1 0.106 0.333 0.667
K2 0.894 0.667 0.333
O5 0.199 0.274 0.137
O6 0.801 0.726 0.863
```

Summary:
The density of states at the Fermi level is 0.123 states/eV/atom. For the total moment, the calculation gives 1.01 μB/cell. As for the electronic total energy: -6.02 eV/atom.